(1)
# TmBeOs

A relaxed TmBeOs crystal (PBE-GGA, the Open Quantum Materials Database).

Unit cell a=4.1524 b=4.1524 c=4.1524 alpha=60.00 beta=60.00 gamma=60.00
Sites, in units of the cell vectors:
Tm: 0.7500 0.7500 0.7500
Os: 0.2500 0.2500 0.2500
Be: 0.0000 0.0000 0.0000

* magnetization: 0.001 μB/cell
* calculated volume: 50.6 Å³ per cell
* energy above the most stable polymorph in this dataset: 0.0 meV/atom

---

(2)
# Er2TmAl3CuSi2

A relaxed Er2TmAl3CuSi2 crystal (PBE-GGA, the Open Quantum Materials Database).

Unit cell a=4.1345 b=6.8614 c=6.8614 alpha=119.97 beta=90.00 gamma=90.00
Sites, in units of the cell vectors:
Tm: 0.0000 0.4063 0.4063
Al: 0.5000 0.7615 0.7615
Al: 0.5000 0.0003 0.2384
Al: 0.5000 0.2384 0.0003
Er: 0.0000 0.9998 0.5933
Er: 0.0000 0.5933 0.9998
Cu: 0.0000 0.0009 0.0009
Si: 0.5000 0.3335 0.6660
Si: 0.5000 0.6660 0.3335

* magnetization: 0.001 μB/cell
* total DFT energy (no corrections): -45.09 eV for the cell shown
* calculated volume: 168.6 Å³ per cell

---

(3)
# La2Mg3Ni2Hg

A relaxed La2Mg3Ni2Hg crystal (PBE-GGA, the Open Quantum Materials Database).

Unit cell a=5.4430 b=5.4430 c=8.3067 alpha=90.06 beta=90.06 gamma=45.61
Sites, in units of the cell vectors:
Ni: 0.7276 0.7276 0.2429
Ni: 0.2798 0.2798 0.7520
La: 0.4418 0.4418 0.2540
La: 0.5598 0.5598 0.7488
Mg: 0.8467 0.8467 0.9455
Mg: 0.8421 0.8421 0.5524
Mg: 0.1557 0.1557 0.0551
Hg: 0.1465 0.1465 0.4492

* magnetization: 0.001 μB/cell
* total DFT energy (no corrections): -28.48 eV for the cell shown
* calculated volume: 175.9 Å³ per cell

---

(4)
# Ho2Sc2BiSb

A relaxed Ho2Sc2BiSb crystal (PBE-GGA, the Open Quantum Materials Database).

Unit cell a=8.7583 b=8.7583 c=8.7583 alpha=151.11 beta=151.11 gamma=41.31
Each line ends with the local moment (μB).
Sites, in units of the cell vectors:
Ho: 0.6733 0.6733 0.0000  0.03
Ho: 0.3222 0.3222 0.0000  0.03
Bi: 0.8669 0.8669 0.0000  0.00
Sb: 0.1323 0.1323 0.0000  -0.01
Sc: 0.5027 0.0027 0.5000  0.36
Sc: 0.0027 0.5027 0.5000  0.33

* magnetization: 1.099 μB/cell
* total DFT energy (no corrections): -34.22 eV for the cell shown
* calculated volume: 156.4 Å³ per cell

---

(5)
# Rb2NaCuI6

A relaxed Rb2NaCuI6 crystal (PBE-GGA, the Open Quantum Materials Database).

Unit cell a=8.2858 b=9.0018 c=11.2617 alpha=90.01 beta=96.08 gamma=90.02
Sites, in units of the cell vectors:
Na: 0.5000 0.5000 0.0000
Na: 0.0000 0.0000 0.5000
Cu: 0.5000 0.5000 0.5000
Cu: 0.0000 0.0000 0.0000
I: 0.4241 0.4444 0.2691
I: 0.7453 0.1513 0.0494
I: 0.7546 0.6516 0.4507
I: 0.0757 0.9440 0.2308
I: 0.2547 0.8487 0.9506
I: 0.2895 0.8123 0.5052
I: 0.9243 0.0560 0.7692
I: 0.7898 0.6875 0.0050
I: 0.5759 0.5556 0.7309
I: 0.2102 0.3125 0.9950
I: 0.7105 0.1877 0.4948
I: 0.2454 0.3484 0.5493
Rb: 0.0266 0.5838 0.7470
Rb: 0.9734 0.4162 0.2530
Rb: 0.5264 0.9162 0.2472
Rb: 0.4736 0.0838 0.7528

* total DFT energy (no corrections): -48.51 eV for the cell shown
* calculated volume: 835.3 Å³ per cell

---

(6)
# Ta2GaTe2

A relaxed Ta2GaTe2 crystal (PBE-GGA, the Open Quantum Materials Database).

Unit cell a=7.9421 b=7.9421 c=7.9421 alpha=150.64 beta=150.64 gamma=42.01
Sites, in units of the cell vectors:
Ta: 0.2500 0.7500 0.5000
Ta: 0.7500 0.2500 0.5000
Te: 0.6158 0.6158 0.0000
Te: 0.3842 0.3842 0.0000
Ga: 0.0000 0.0000 0.0000

* magnetization: 0.003 μB/cell
* total DFT energy (no corrections): -32.71 eV for the cell shown
* calculated volume: 120.2 Å³ per cell